Entry from OQMD via LeMat-Bulk: crystalline LuZnNO at its relaxed geometry (GGA-PBE).

Geometry as POSCAR:
```
LuZnNO
1.0
4.6625 0.0000 0.0000
0.0000 4.6625 0.0000
0.0000 0.0000 4.3287
Lu Zn N O
2 2 2 2
Cartesian
1.1656 3.4969 0.0000
3.4969 1.1656 0.0000
1.1656 1.1656 2.1568
3.4969 3.4969 2.1719
1.1656 1.1656 4.3248
3.4969 3.4969 0.0039
1.1656 3.4969 2.1644
3.4969 1.1656 2.1644
```

E_tot: -6.413 eV per atom
Spin magnetization: 0.0 μB per cell
ΔE to the lowest computed polymorph: 39 meV/atom